InCoHgRh2: optimized geometry, PBE.

POSCAR file:
```
InCoHgRh2
1.0
4.897 0.000 0.000
0.000 4.897 0.000
0.000 0.000 5.135
In Co Hg Rh
1 1 1 2
direct
0.000 0.000 0.000
0.500 0.500 0.500
0.000 0.000 0.500
0.000 0.500 0.000
0.500 0.000 0.000
```

Results
**Size of the total moment**: 2.60 μB per cell
**Electronic total energy**: -17.18 eV per cell
**DFT formation energy**: 1.534 eV per atom
**Crystal system**: tetragonal
**ρ**: 7.82 Mg/m³
**Space group**: P4/mmm, No. 123